Density functional theory data (GGA-PBEsol) for a relaxed MgScNF2 crystal.

Calculated values
Its energy relative to the elements, uncorrected is -2.144 eV per atom. The calculation puts the mass density at 3.516 g/cm³. Its crystal system is tetragonal.

a b c (Å): 3.5570 3.5570 4.5270
angles (deg): 90.00 90.00 90.00
Element x y z (fractional)
Sc1 0.5000 0.5000 0.5000
Mg1 0.0000 0.0000 0.0000
N1 0.0000 0.0000 0.5000
F1 0.0000 0.5000 0.0000
F2 0.5000 0.0000 0.0000